# 1
Cs3Sc2USe6 | PBE | optimized geometry

Structure (POSCAR):
```
Cs3Sc2USe6
1.0
3.595 -6.227 0.000
3.595 6.227 0.000
-2.400 0.000 8.346
Cs Sc U Se
3 2 1 6
direct
0.000 0.000 0.000 Cs
0.335 0.665 0.000 Cs
0.665 0.335 0.000 Cs
0.167 0.833 0.500 Sc
0.833 0.167 0.500 Sc
0.500 0.500 0.500 U
0.094 0.440 0.319 Se
0.214 0.214 0.680 Se
0.440 0.094 0.319 Se
0.560 0.906 0.681 Se
0.786 0.786 0.320 Se
0.906 0.560 0.681 Se
```

- Formation energy (no corrections): -1430 meV per atom
- Total moment: 0.25 μB/atom
- Theoretical density: 5.33 g cm⁻³
- Symmetry: C2/m
- Crystal system: monoclinic

---

# 2
PrHI3 | PBE | optimized geometry

Structure (POSCAR):
```
PrHI3
1.0
8.404 0.000 0.000
0.000 8.396 0.000
-4.459 0.000 13.868
Pr H I
4 4 12
direct
0.000 0.250 0.083 Pr
0.000 0.250 0.417 Pr
0.000 0.750 0.583 Pr
0.000 0.750 0.917 Pr
0.047 0.235 0.758 H
0.047 0.765 0.258 H
0.953 0.235 0.742 H
0.953 0.765 0.242 H
0.253 0.005 0.041 I
0.253 0.250 0.295 I
0.253 0.493 0.550 I
0.253 0.507 0.050 I
0.253 0.750 0.795 I
0.253 0.995 0.541 I
0.747 0.005 0.459 I
0.747 0.250 0.205 I
0.747 0.493 0.950 I
0.747 0.507 0.450 I
0.747 0.750 0.705 I
0.747 0.995 0.959 I
```

- Total moment: 0.00 μB/atom
- Theoretical density: 3.55 g cm⁻³
- Excess energy over the best structure of this formula in the dataset: 0.0000 eV per atom
- Symmetry: P2/c
- Crystal system: monoclinic

---

# 3
PaCdTc4 | PBE | optimized geometry

Structure (POSCAR):
```
PaCdTc4
1.0
0.000 3.778 3.778
3.778 0.000 3.778
3.778 3.778 0.000
Pa Cd Tc
1 1 4
direct
0.000 0.000 0.000 Pa
0.750 0.750 0.750 Cd
0.376 0.376 0.376 Tc
0.376 0.376 0.872 Tc
0.376 0.872 0.376 Tc
0.872 0.376 0.376 Tc
```

- Formation energy from the elements: 0.15 eV/atom
- Total moment: 0.00 μB/atom
- Theoretical density: 11.32 g cm⁻³
- Symmetry: F-43m
- Crystal system: cubic

---

# 4
Zr2VHgH | PBE | optimized geometry

Structure (POSCAR):
```
Zr2VHgH
1.0
4.487 0.000 0.000
0.000 4.487 0.000
0.000 0.000 4.023
Zr V Hg H
2 1 1 1
direct
0.000 0.500 0.000 Zr
0.500 0.000 0.000 Zr
0.000 0.000 0.500 V
0.500 0.500 0.500 Hg
0.000 0.000 0.000 H
```

- Total moment: 0.20 μB/atom
- Theoretical density: 8.92 g cm⁻³
- Final energy: -30.46 eV for the cell shown
- Symmetry: P4/mmm
- Crystal system: tetragonal

---

# 5
SmReC | PBE | optimized geometry

Structure (POSCAR):
```
SmReC
1.0
5.290 0.000 0.000
0.000 4.306 0.000
-1.306 0.000 5.584
Sm Re C
2 2 2
direct
0.136 0.250 0.291 Sm
0.864 0.750 0.709 Sm
0.433 0.250 0.893 Re
0.567 0.750 0.107 Re
0.093 0.250 0.728 C
0.907 0.750 0.272 C
```

- Formation energy from the elements: 0.20 eV/atom
- Total moment: 0.00 μB/atom
- Theoretical density: 9.10 g cm⁻³
- Excess energy over the best structure of this formula in the dataset: 0.0519 eV per atom
- Symmetry: P2_1/m
- Crystal system: monoclinic

---

# 6
TlAs2Se3 | PBE | optimized geometry

Structure (POSCAR):
```
TlAs2Se3
1.0
5.367 -5.428 0.000
5.367 5.428 0.000
0.000 0.000 6.528
Tl As Se
2 4 6
direct
0.115 0.885 0.750 Tl
0.885 0.115 0.250 Tl
0.317 0.317 0.000 As
0.317 0.317 0.500 As
0.683 0.683 0.000 As
0.683 0.683 0.500 As
0.060 0.311 0.750 Se
0.311 0.060 0.250 Se
0.416 0.584 0.250 Se
0.584 0.416 0.750 Se
0.689 0.940 0.750 Se
0.940 0.689 0.250 Se
```

- Formation energy (no corrections): -3 meV per atom
- Total moment: 0.00 μB/atom
- Theoretical density: 5.16 g cm⁻³
- Symmetry: Cmcm
- Crystal system: orthorhombic

---

# 7
InSbS2N | PBE | optimized geometry

Structure (POSCAR):
```
InSbS2N
1.0
5.126 0.000 0.000
0.000 5.126 0.000
0.000 0.000 3.971
In Sb S N
1 1 2 1
direct
0.000 0.000 0.000 In
0.500 0.500 0.500 Sb
0.000 0.500 0.500 S
0.500 0.000 0.500 S
0.500 0.500 0.000 N
```

- Formation energy (no corrections): 542 meV per atom
- Total moment: 0.00 μB/atom
- Theoretical density: 5.01 g cm⁻³
- Excess energy over the best structure of this formula in the dataset: 0.0000 eV per atom
- Symmetry: P4/mmm
- Crystal system: tetragonal

---

# 8
HOsRu | PBE | optimized geometry

Structure (POSCAR):
```
HOsRu
1.0
4.948 0.000 0.000
0.000 4.335 0.000
0.000 0.000 5.793
H Os Ru
4 4 4
direct
0.246 0.250 0.119 H
0.254 0.750 0.619 H
0.746 0.250 0.381 H
0.754 0.750 0.881 H
0.069 0.250 0.858 Os
0.431 0.750 0.358 Os
0.569 0.250 0.642 Os
0.931 0.750 0.142 Os
0.095 0.250 0.391 Ru
0.405 0.750 0.891 Ru
0.595 0.250 0.109 Ru
0.905 0.750 0.609 Ru
```

- Total moment: 0.00 μB/atom
- Theoretical density: 15.62 g cm⁻³
- Final energy: -92.38 eV for the cell shown
- Symmetry: Pnma
- Crystal system: orthorhombic

---

# 9
DyTiZnPd | PBE | optimized geometry

Structure (POSCAR):
```
DyTiZnPd
1.0
6.741 0.000 0.000
0.000 6.741 0.000
0.000 0.000 6.741
Dy Ti Zn Pd
4 4 4 4
direct
0.000 0.000 0.000 Dy
0.000 0.500 0.500 Dy
0.500 0.000 0.500 Dy
0.500 0.500 0.000 Dy
0.000 0.000 0.500 Ti
0.000 0.500 0.000 Ti
0.500 0.000 0.000 Ti
0.500 0.500 0.500 Ti
0.250 0.250 0.250 Zn
0.250 0.750 0.750 Zn
0.750 0.250 0.750 Zn
0.750 0.750 0.250 Zn
0.250 0.250 0.750 Pd
0.250 0.750 0.250 Pd
0.750 0.250 0.250 Pd
0.750 0.750 0.750 Pd
```

- Formation energy from the elements: -0.34 eV/atom
- Total moment: 0.35 μB/atom
- Theoretical density: 8.29 g cm⁻³
- Symmetry: F-43m
- Crystal system: cubic

---

# 10
Zn2CoReIr | PBE | optimized geometry

Structure (POSCAR):
```
Zn2CoReIr
1.0
4.312 0.000 0.000
0.000 4.312 0.000
0.000 0.000 4.375
Zn Co Re Ir
2 1 1 1
direct
0.000 0.500 0.000 Zn
0.500 0.000 0.000 Zn
0.000 0.000 0.000 Co
0.000 0.000 0.500 Re
0.500 0.500 0.500 Ir
```

- Formation energy from the elements: 1.09 eV/atom
- Total moment: 0.18 μB/atom
- Theoretical density: 11.60 g cm⁻³
- Symmetry: P4/mmm
- Crystal system: tetragonal

---

# 11
MgIrI2 | PBE | optimized geometry

Structure (POSCAR):
```
MgIrI2
1.0
6.174 0.000 0.000
0.000 6.174 0.000
0.000 0.000 13.087
Mg Ir I
4 4 8
direct
0.000 0.000 0.000 Mg
0.000 0.500 0.250 Mg
0.500 0.000 0.750 Mg
0.500 0.500 0.500 Mg
0.000 0.000 0.500 Ir
0.000 0.500 0.750 Ir
0.500 0.000 0.250 Ir
0.500 0.500 0.000 Ir
0.220 0.250 0.625 I
0.250 0.720 0.875 I
0.250 0.780 0.375 I
0.280 0.250 0.125 I
0.720 0.750 0.125 I
0.750 0.220 0.375 I
0.750 0.280 0.875 I
0.780 0.750 0.625 I
```

- Formation energy (no corrections): 325 meV per atom
- Total moment: 0.00 μB/atom
- Theoretical density: 6.26 g cm⁻³
- Excess energy over the best structure of this formula in the dataset: 0.0000 eV per atom
- Symmetry: I-42d
- Crystal system: tetragonal

---

# 12
HoHfHg2 | PBE | optimized geometry

Structure (POSCAR):
```
HoHfHg2
1.0
7.190 0.000 0.000
0.000 7.190 0.000
0.000 0.000 7.190
Ho Hf Hg
4 4 8
direct
0.000 0.000 0.000 Ho
0.000 0.500 0.500 Ho
0.500 0.000 0.500 Ho
0.500 0.500 0.000 Ho
0.000 0.000 0.500 Hf
0.000 0.500 0.000 Hf
0.500 0.000 0.000 Hf
0.500 0.500 0.500 Hf
0.250 0.250 0.250 Hg
0.250 0.250 0.750 Hg
0.250 0.750 0.250 Hg
0.250 0.750 0.750 Hg
0.750 0.250 0.250 Hg
0.750 0.250 0.750 Hg
0.750 0.750 0.250 Hg
0.750 0.750 0.750 Hg
```

- Formation energy from the elements: -0.17 eV/atom
- Total moment: 0.25 μB/atom
- Theoretical density: 13.31 g cm⁻³
- Excess energy over the best structure of this formula in the dataset: 0.0285 eV per atom
- Symmetry: Fm-3m
- Crystal system: cubic